<a>
HfZnPt3: optimized geometry, GGA-PBE.

Its theoretical density is 15.899 g/cm3. The calculation puts the density of states at the Fermi level at 0.422 states/eV per atom.

It has space group P6_3/mmc (No. 194), with a = 6.4480 Å, b = 6.4480 Å, c = 4.8081 Å, α = 90.00°, β = 90.00° and γ = 120.00°. The asymmetric unit holds Hf at (0.3333, 0.6667, 0.2500), Zn at (0.0000, 0.0000, 0.0000) and Pt at (0.1963, 0.3925, 0.7500).

---

<b>
HfZnPt3: optimized geometry, GGA-PBE.

Its theoretical density is 11.462 g/cm3. The calculation puts the density of states at the Fermi level at 0.684 states/eV per atom.

It has space group Pm-3m (No. 221), with a = 4.934 Å, b = 4.934 Å, c = 4.934 Å, α = 90.00°, β = 90.00° and γ = 90.00°. The asymmetric unit holds Hf at (0.000, 0.000, 0.000), Zn at (0.500, 0.500, 0.500) and Pt at (0.000, 0.000, 0.500).

---

<c>
HfZnPt3: optimized geometry, GGA-PBE.

Its theoretical density is 14.396 g/cm3. The calculation puts the density of states at the Fermi level at 0.883 states/eV per atom.

It has space group Pm-3m (No. 221), with a = 4.573 Å, b = 4.573 Å, c = 4.573 Å, α = 90.00°, β = 90.00° and γ = 90.00°. The asymmetric unit holds Hf at (0.000, 0.000, 0.000), Zn at (0.500, 0.500, 0.500) and Pt at (0.000, 0.500, 0.500).

---

Quick one: least stable of them? <b>

---

<a>
HfZr2Pt2: optimized geometry, GGA-PBE.

Its theoretical density is 11.595 g/cm3. The calculation puts the density of states at the Fermi level at 0.782 states/eV per atom.

It has space group Pbcm (No. 57), with a = 10.078 Å, b = 6.545 Å, c = 6.523 Å, α = 90.00°, β = 90.00° and γ = 90.00°. The asymmetric unit holds Hf at (0.180, 0.250, 0.000), Zr at (0.174, 0.750, 0.000), Zr at (0.498, 0.750, 0.000), Pt at (0.038, 0.014, 0.250) and Pt at (0.338, 0.005, 0.750).

---

<b>
HfZr2Pt2: optimized geometry, GGA-PBE.

Its theoretical density is 12.472 g/cm3. The calculation puts the density of states at the Fermi level at 1.525 states/eV per atom.

It has space group P4/mbm (No. 127), with a = 7.583 Å, b = 7.583 Å, c = 3.478 Å, α = 90.00°, β = 90.00° and γ = 90.00°. The asymmetric unit holds Hf at (0.000, 0.000, 0.000), Zr at (0.170, 0.330, 0.500) and Pt at (0.131, 0.631, 0.000).

---

Quick one: least stable of them? <a>

---

<a>
Hf2ZrPt2: optimized geometry, GGA-PBE.

Its theoretical density is 14.127 g/cm3. The calculation puts the density of states at the Fermi level at 0.959 states/eV per atom.

It has space group P4/mbm (No. 127), with a = 7.661 Å, b = 7.661 Å, c = 3.358 Å, α = 90.00°, β = 90.00° and γ = 90.00°. The asymmetric unit holds Hf at (0.166, 0.334, 0.000), Zr at (0.000, 0.000, 0.500) and Pt at (0.131, 0.631, 0.500).

---

<b>
Hf2ZrPt2: optimized geometry, GGA-PBE.

Its theoretical density is 13.309 g/cm3. The calculation puts the density of states at the Fermi level at 0.734 states/eV per atom.

It has space group Imma (No. 74), with a = 4.726 Å, b = 7.745 Å, c = 11.430 Å, α = 90.00°, β = 90.00° and γ = 90.00°. The asymmetric unit holds Hf at (0.000, 0.048, 0.159), Zr at (0.000, 0.250, 0.658), Pt at (0.000, 0.250, 0.376) and Pt at (0.000, 0.250, 0.960).

---

<c>
Hf2ZrPt2: optimized geometry, GGA-PBE.

Its theoretical density is 14.309 g/cm3. The calculation puts the density of states at the Fermi level at 0.720 states/eV per atom.

It has space group P4/mbm (No. 127), with a = 7.866 Å, b = 7.866 Å, c = 3.145 Å, α = 90.00°, β = 90.00° and γ = 90.00°. The asymmetric unit holds Hf at (0.155, 0.345, 0.000), Zr at (0.000, 0.000, 0.000) and Pt at (0.143, 0.643, 0.500).

---

Quick one: least stable of them? <b>